Density functional theory data (PBE with a Hubbard U) for a relaxed CoSI2F crystal.

Cell and atoms, written as POSCAR:
```
CoSI2F
1.0
5.540 0.000 0.000
0.000 5.540 0.000
0.000 0.000 4.383
Co S I F
1 1 2 1
Direct
0.000 0.000 0.000 Co
0.000 0.000 0.500 S
0.000 0.500 0.500 I
0.500 0.000 0.500 I
0.500 0.500 0.000 F
```

Output
* energy: -2.575 eV per atom
* space group: P4/mmm (123)
* magnetization: 0.477 μB/atom
* crystal system: tetragonal